# Ce2NiF PBE with a Hubbard U relaxed
data_Ce2NiF
_space_group_name_H-M_alt 'P 1'
_space_group_IT_number 1
_cell_length_a 3.0878
_cell_length_b 3.0878
_cell_length_c 8.9832
_cell_angle_alpha 80.10
_cell_angle_beta 80.10
_cell_angle_gamma 60.00
loop_
_space_group_symop_operation_xyz
'x,y,z'
loop_
_atom_site_label
_atom_site_fract_x
_atom_site_fract_y
_atom_site_fract_z
Ni1 0.0000 0.0000 0.0000
Ce1 0.0908 0.0908 0.7275
Ce2 0.9092 0.9092 0.2725
F1 0.5000 0.5000 0.5000
# Calculated volume = 73 Å³ per cell
# E = -4.623 eV per atom
# SG = R-3m (166)
# DOS at the Fermi energy = 1.7921 states/eV per atom
# Magnetic moment = 0.91 μB per cell